1.
Material: MnNiSn2
Method: DFT, PBE-GGA
State: relaxed

- Total magnetic moment: 2.5 μB per formula unit

```
4
Lattice="0.000 3.229 3.229 3.229 0.000 3.229 3.229 3.229 0.000" Properties=species:S:1:pos:R:3 pbc="T T T"
Ni 3.229 3.229 3.229
Mn 0.000 0.000 0.000
Sn 1.615 1.615 1.615
Sn 4.844 4.844 4.844
```

---

2.
Material: MnNiSn2
Method: DFT, PBE-GGA
State: relaxed

- Total magnetic moment: 3.8 μB per formula unit

```
8
Lattice="7.382 0.000 0.000 0.000 7.382 0.000 3.691 3.691 2.945" Properties=species:S:1:pos:R:3 pbc="T T T"
Ni 0.000 0.000 0.000
Ni 7.382 3.691 1.473
Mn 3.691 3.691 0.000
Mn 3.691 7.382 1.473
Sn 5.792 1.846 0.736
Sn 1.590 5.537 0.736
Sn 5.537 5.281 2.209
Sn 9.228 9.483 2.209
```

---

It comes down to 1, which is 11.9 kJ/mol of atoms more stable than the next structure.